Entry 1:
Compound: TaTcI3
Source: the Alexandria database
Functional: PBE
Structure: relaxed

a b c (Å): 5.555 5.555 5.555
angles (deg): 90.00 90.00 90.00
Positions (direct):
I 0.000 0.500 0.000
I 0.000 0.000 0.500
I 0.500 0.000 0.000
Tc 0.500 0.500 0.500
Ta 0.000 0.000 0.000

Values from the calculation:
Total magnetic moment in μB/atom: 1.10
Fermi-level density of states in states/eV per atom: 2.227
E_form (uncorrected) in meV per atom: 1238

=====

Entry 2:
Compound: Ta3TcI
Source: the Alexandria database
Functional: PBE
Structure: relaxed

a b c (Å): 4.918 4.918 4.918
angles (deg): 90.00 90.00 90.00
Positions (direct):
I 0.000 0.000 0.000
Tc 0.500 0.500 0.500
Ta 0.000 0.500 0.000
Ta 0.000 0.000 0.500
Ta 0.500 0.000 0.000

Values from the calculation:
Total magnetic moment in μB/atom: 0.41
Fermi-level density of states in states/eV per atom: 1.176
E_form (uncorrected) in meV per atom: 2479

=====

Entry 3:
Compound: TaTc2I
Source: the Alexandria database
Functional: PBE
Structure: relaxed

a b c (Å): 5.873 5.873 7.169
angles (deg): 65.82 65.82 90.00
Positions (direct):
I 0.500 0.500 0.000
I 0.250 0.750 0.500
Tc 0.641 0.125 0.250
Tc 0.109 0.625 0.250
Tc 0.375 0.359 0.750
Tc 0.875 0.891 0.750
Ta 0.000 0.000 0.000
Ta 0.750 0.250 0.500

Values from the calculation:
Total magnetic moment in μB/atom: 0.00
Fermi-level density of states in states/eV per atom: 0.909
E_form (uncorrected) in meV per atom: 1288

=====

Entry 4:
Compound: TaTcI2
Source: the Alexandria database
Functional: PBE
Structure: relaxed

a b c (Å): 6.175 6.175 7.401
angles (deg): 65.34 65.34 90.00
Positions (direct):
I 0.609 0.125 0.250
I 0.141 0.625 0.250
I 0.375 0.391 0.750
I 0.875 0.859 0.750
Tc 0.500 0.500 0.000
Tc 0.250 0.750 0.500
Ta 0.000 0.000 0.000
Ta 0.750 0.250 0.500

Values from the calculation:
Total magnetic moment in μB/atom: 0.25
Fermi-level density of states in states/eV per atom: 0.753
E_form (uncorrected) in meV per atom: 1351

=====

In eV per atom, the E values for the records above are, in order, -4.1357, -7.0155, -7.2457, -4.9784.
In eV per atom, the E above lowest polymorph values for the records above are, in order, 0.0000, 1.1635, 0.5648, 0.3319.